1.
{"formula": "IrOsRu2", "functional": "meta-GGA SCAN", "state": "single point on PBEsol structure", "dos_ef_per_ev_atom": 0.93, "spacegroup": "R-3m", "delta_e_f_kj_per_mol_fu": 16, "e_tot_ev_per_cell": -212.47, "mass_density_g_cm3": 17.7, "e_above_lowest_polymorph_ev_per_fu": 0.06, "cell": [[2.684, 0.000, 0.000], [1.342, 2.325, 0.000], [1.342, 0.775, 8.767]], "species": ["Ru", "Ru", "Ir", "Os"], "fractional_positions": [[0.749, 0.749, 0.752], [0.251, 0.251, 0.248], [0.500, 0.500, 0.500], [0.000, 0.000, 0.000]]}

***

2.
{"formula": "Mg5In", "functional": "meta-GGA SCAN", "state": "single point on PBEsol structure", "dos_ef_per_ev_atom": 0.33, "spacegroup": "P-62m", "delta_e_f_kj_per_mol_fu": -52, "e_tot_ev_per_cell": -58.80, "mass_density_g_cm3": 2.9, "cell": [[5.040, 0.000, 0.000], [0.000, 5.544, 0.000], [0.000, -2.772, 4.801]], "species": ["Mg", "Mg", "Mg", "Mg", "Mg", "In"], "fractional_positions": [[0.500, 0.667, 0.333], [0.000, 0.331, 0.331], [0.000, 0.669, 0.000], [0.500, 0.333, 0.667], [0.000, 0.000, 0.669], [0.500, 0.000, 0.000]]}

***

3.
{"formula": "Na7AlH2C4O12F4", "functional": "meta-GGA SCAN", "state": "single point on PBEsol structure", "dos_ef_per_ev_atom": 0.00, "spacegroup": "P-1", "e_tot_ev_per_cell": -237.82, "mass_density_g_cm3": 2.6, "cell": [[6.456, -0.024, 0.009], [3.156, 5.847, -0.013], [1.133, 1.030, 8.657]], "species": ["C", "C", "C", "C", "O", "O", "O", "O", "O", "O", "O", "O", "O", "O", "O", "O", "Na", "Na", "Na", "Na", "Na", "Na", "Na", "F", "F", "F", "F", "Al", "H", "H"], "fractional_positions": [[0.825, 0.885, 0.699], [0.175, 0.115, 0.301], [0.188, 0.611, 0.286], [0.812, 0.389, 0.714], [0.642, 0.507, 0.626], [0.358, 0.493, 0.374], [0.973, 0.236, 0.384], [0.027, 0.764, 0.616], [0.840, 0.866, 0.844], [0.160, 0.134, 0.156], [0.216, 0.610, 0.136], [0.024, 0.259, 0.657], [0.361, 0.993, 0.373], [0.976, 0.741, 0.343], [0.639, 0.007, 0.627], [0.784, 0.390, 0.864], [0.000, 0.000, 0.000], [0.000, 0.500, 0.000], [0.660, 0.120, 0.357], [0.340, 0.386, 0.642], [0.340, 0.880, 0.643], [0.500, 0.000, 0.000], [0.660, 0.614, 0.358], [0.640, 0.609, 0.108], [0.366, 0.785, 0.893], [0.634, 0.215, 0.107], [0.360, 0.391, 0.892], [0.500, 0.500, 0.000], [0.997, 0.760, 0.500], [0.003, 0.240, 0.500]]}

***

4.
{"formula": "NiBrCl", "functional": "meta-GGA SCAN", "state": "single point on PBEsol structure", "dos_ef_per_ev_atom": 0.44, "spacegroup": "I4mm", "formation_energy_uncorrected_ev_per_fu": -0.017, "e_tot_ev_per_cell": -43.63, "mass_density_g_cm3": 5.0, "e_above_lowest_polymorph_ev_per_fu": 2.62, "cell": [[-0.581, 2.483, 1.747], [-1.600, -1.762, 1.972], [6.179, -1.414, 1.329]], "species": ["Br", "Cl", "Ni"], "fractional_positions": [[0.960, 0.960, 0.921], [0.713, 0.713, 0.427], [0.326, 0.326, 0.653]]}

***

5.
{"formula": "NaTeBrN2", "functional": "meta-GGA SCAN", "state": "single point on PBEsol structure", "dos_ef_per_ev_atom": 0.47, "spacegroup": "P4/mmm", "formation_energy_uncorrected_ev_per_fu": 7.858, "e_tot_ev_per_cell": -71.65, "mass_density_g_cm3": 3.5, "cell": [[-2.126, -2.262, 3.208], [0.579, -3.789, -2.288], [5.346, -0.928, 2.889]], "species": ["Br", "Te", "N", "N", "Na"], "fractional_positions": [[0.500, 0.500, 0.500], [0.000, 0.000, 0.500], [0.500, 0.000, 0.000], [0.000, 0.500, 0.000], [0.000, 0.000, 0.000]]}

***

6.
{"formula": "Co2CuTe", "functional": "meta-GGA SCAN", "state": "single point on PBEsol structure", "dos_ef_per_ev_atom": 0.42, "spacegroup": "I-4m2", "formation_energy_uncorrected_ev_per_fu": 1.338, "e_tot_ev_per_cell": -85.72, "mass_density_g_cm3": 9.9, "cell": [[3.659, 0.000, 0.000], [0.000, 3.659, 0.000], [-1.829, -1.829, 3.871]], "species": ["Cu", "Te", "Co", "Co"], "fractional_positions": [[0.500, 0.500, 0.000], [0.750, 0.250, 0.500], [0.000, 0.000, 0.000], [0.250, 0.750, 0.500]]}

***

7.
{"formula": "Co2OsO", "functional": "meta-GGA SCAN", "state": "single point on PBEsol structure", "dos_ef_per_ev_atom": 1.30, "spacegroup": "Fm-3m", "formation_energy_uncorrected_ev_per_fu": 4.050, "e_tot_ev_per_cell": -108.67, "mass_density_g_cm3": 12.4, "cell": [[-1.712, -2.554, -2.468], [-0.906, -3.632, 1.238], [-3.772, -1.020, 0.524]], "species": ["Co", "Co", "O", "Os"], "fractional_positions": [[0.250, 0.250, 0.250], [0.750, 0.750, 0.750], [0.000, 0.000, 0.000], [0.500, 0.500, 0.500]]}

***

8.
{"formula": "RbLiAu2I", "functional": "meta-GGA SCAN", "state": "single point on PBEsol structure", "dos_ef_per_ev_atom": 0.37, "spacegroup": "P4/mmm", "formation_energy_uncorrected_ev_per_fu": 2.055, "e_tot_ev_per_cell": -196.13, "mass_density_g_cm3": 4.4, "cell": [[-4.589, -2.989, 2.141], [3.644, -4.151, 2.016], [0.552, 3.292, 5.780]], "species": ["Au", "Au", "I", "Li", "Rb"], "fractional_positions": [[0.000, 0.500, 0.000], [0.500, 0.000, 0.000], [0.000, 0.000, 0.500], [0.500, 0.500, 0.500], [0.000, 0.000, 0.000]]}

***

9.
{"formula": "CuSnPd2", "functional": "meta-GGA SCAN", "state": "single point on PBEsol structure", "dos_ef_per_ev_atom": 0.33, "spacegroup": "P4/mmm", "delta_e_f_kj_per_mol_fu": -128, "e_tot_ev_per_cell": -118.00, "mass_density_g_cm3": 10.9, "cell": [[-3.139, -0.234, 2.148], [-0.953, -3.432, -1.767], [2.043, -1.992, 2.769]], "species": ["Pd", "Pd", "Cu", "Sn"], "fractional_positions": [[0.500, 0.500, 0.000], [0.500, 0.000, 0.500], [0.000, 0.000, 0.000], [0.000, 0.500, 0.500]]}

***

10.
{"formula": "CaAl2Pt2", "functional": "meta-GGA SCAN", "state": "single point on PBEsol structure", "dos_ef_per_ev_atom": 0.41, "spacegroup": "I4/mmm", "delta_e_f_kj_per_mol_fu": -609, "e_tot_ev_per_cell": -171.87, "mass_density_g_cm3": 8.7, "cell": [[4.052, 0.000, 0.000], [0.000, 4.052, 0.000], [-2.026, -2.026, 5.632]], "species": ["Ca", "Al", "Al", "Pt", "Pt"], "fractional_positions": [[0.000, 0.000, 0.000], [0.750, 0.250, 0.500], [0.250, 0.750, 0.500], [0.619, 0.619, 0.238], [0.381, 0.381, 0.762]]}

***

11.
{"formula": "MgIrRh2", "functional": "meta-GGA SCAN", "state": "single point on PBEsol structure", "dos_ef_per_ev_atom": 0.86, "spacegroup": "P4/mmm", "delta_e_f_kj_per_mol_fu": -87, "e_tot_ev_per_cell": -144.52, "mass_density_g_cm3": 12.2, "cell": [[2.741, 0.000, 0.000], [0.000, 2.741, 0.000], [0.000, 0.000, 7.660]], "species": ["Ir", "Rh", "Rh", "Mg"], "fractional_positions": [[0.500, 0.500, 0.000], [0.000, 0.000, 0.763], [0.000, 0.000, 0.237], [0.500, 0.500, 0.500]]}

***

12.
{"formula": "MgAs2AuBr", "functional": "meta-GGA SCAN", "state": "single point on PBEsol structure", "dos_ef_per_ev_atom": 0.68, "spacegroup": "P4/mmm", "formation_energy_uncorrected_ev_per_fu": 2.324, "e_tot_ev_per_cell": -131.65, "mass_density_g_cm3": 5.7, "cell": [[-1.470, -2.943, -3.733], [-0.226, -3.860, 3.132], [-5.039, 1.162, 1.068]], "species": ["Br", "Mg", "As", "As", "Au"], "fractional_positions": [[0.000, 0.000, 0.500], [0.500, 0.500, 0.500], [0.000, 0.500, 0.000], [0.500, 0.000, 0.000], [0.000, 0.000, 0.000]]}

***

13.
{"formula": "LiBeF2", "functional": "meta-GGA SCAN", "state": "single point on PBEsol structure", "dos_ef_per_ev_atom": 0.22, "spacegroup": "Fm-3m", "formation_energy_uncorrected_ev_per_fu": -5.655, "e_tot_ev_per_cell": -19.48, "mass_density_g_cm3": 2.4, "cell": [[-1.172, -3.582, -0.072], [2.370, -2.738, -1.048], [1.289, -2.457, 2.552]], "species": ["Li", "F", "F", "Be"], "fractional_positions": [[0.000, 0.000, 0.000], [0.250, 0.250, 0.250], [0.750, 0.750, 0.750], [0.500, 0.500, 0.500]]}

***

14.
{"formula": "ReGeAs", "functional": "meta-GGA SCAN", "state": "single point on PBEsol structure", "dos_ef_per_ev_atom": 0.13, "spacegroup": "C2/m", "delta_e_f_kj_per_mol_fu": -22, "e_tot_ev_per_cell": -221.21, "mass_density_g_cm3": 11.6, "cell": [[-1.359, 1.265, -2.607], [2.493, -1.312, -3.901], [-4.059, -4.987, -2.270]], "species": ["As", "As", "Re", "Re", "Ge", "Ge"], "fractional_positions": [[0.141, 0.245, 0.473], [0.859, 0.755, 0.527], [0.840, 0.110, 0.209], [0.160, 0.890, 0.791], [0.604, 0.689, 0.103], [0.396, 0.311, 0.897]]}

***

15.
{"formula": "CaGa2Pt2", "functional": "meta-GGA SCAN", "state": "single point on PBEsol structure", "dos_ef_per_ev_atom": 0.45, "spacegroup": "I4/mmm", "delta_e_f_kj_per_mol_fu": -478, "e_tot_ev_per_cell": -187.69, "mass_density_g_cm3": 10.1, "cell": [[4.097, 0.000, 0.000], [0.000, 4.097, 0.000], [-2.049, -2.049, 5.573]], "species": ["Ga", "Ga", "Pt", "Pt", "Ca"], "fractional_positions": [[0.750, 0.250, 0.500], [0.250, 0.750, 0.500], [0.382, 0.382, 0.763], [0.618, 0.618, 0.237], [0.000, 0.000, 0.000]]}

***

16.
{"formula": "ReSi2Pb", "functional": "meta-GGA SCAN", "state": "single point on PBEsol structure", "dos_ef_per_ev_atom": 0.74, "spacegroup": "I-42d", "formation_energy_uncorrected_ev_per_fu": 2.805, "e_tot_ev_per_cell": -328.21, "mass_density_g_cm3": 8.9, "cell": [[-1.698, -1.456, 4.051], [4.281, -1.031, 1.423], [-0.518, 8.499, 0.195]], "species": ["Si", "Si", "Si", "Si", "Pb", "Pb", "Re", "Re"], "fractional_positions": [[0.625, 0.495, 0.750], [0.505, 0.875, 0.250], [0.745, 0.375, 0.250], [0.125, 0.255, 0.750], [0.000, 0.000, 0.000], [0.250, 0.750, 0.500], [0.750, 0.250, 0.500], [0.500, 0.500, 0.000]]}

***

17.
{"formula": "AsSe2", "functional": "meta-GGA SCAN", "state": "single point on PBEsol structure", "dos_ef_per_ev_atom": 0.48, "spacegroup": "I4/mcm", "formation_energy_uncorrected_ev_per_fu": 0.888, "e_tot_ev_per_cell": -118.92, "mass_density_g_cm3": 6.3, "cell": [[-2.192, 3.794, 3.236], [-3.476, -4.035, -1.145], [-1.331, -1.951, 4.909]], "species": ["Se", "Se", "Se", "Se", "As", "As"], "fractional_positions": [[0.500, 0.848, 0.348], [0.197, 0.348, 0.152], [0.803, 0.652, 0.848], [0.500, 0.152, 0.652], [0.000, 0.250, 0.750], [0.000, 0.750, 0.250]]}

***

18.
{"formula": "NaBe2SeBr", "functional": "meta-GGA SCAN", "state": "single point on PBEsol structure", "dos_ef_per_ev_atom": 0.84, "spacegroup": "P4/mmm", "formation_energy_uncorrected_ev_per_fu": 6.554, "e_tot_ev_per_cell": -45.91, "mass_density_g_cm3": 2.6, "cell": [[4.738, 0.000, 0.000], [0.000, 5.185, 0.000], [0.000, 0.000, 5.185]], "species": ["Br", "Na", "Se", "Be", "Be"], "fractional_positions": [[0.500, 0.000, 0.000], [0.000, 0.000, 0.000], [0.500, 0.500, 0.500], [0.000, 0.000, 0.500], [0.000, 0.500, 0.000]]}

***

19.
{"formula": "SbOsRu", "functional": "meta-GGA SCAN", "state": "single point on PBEsol structure", "dos_ef_per_ev_atom": 0.46, "spacegroup": "P3m1", "formation_energy_uncorrected_ev_per_fu": 1.637, "e_tot_ev_per_cell": -142.33, "mass_density_g_cm3": 14.3, "e_above_lowest_polymorph_ev_per_fu": 0.00, "cell": [[2.956, 0.000, 0.000], [-1.478, 2.560, 0.000], [0.000, 0.000, 6.340]], "species": ["Ru", "Os", "Sb"], "fractional_positions": [[0.333, 0.667, 0.674], [0.000, 0.000, 0.990], [0.667, 0.333, 0.336]]}

***

20.
{"formula": "Er3Si13Ir4", "functional": "meta-GGA SCAN", "state": "single point on PBEsol structure", "dos_ef_per_ev_atom": 0.32, "spacegroup": "Pm-3n", "formation_energy_uncorrected_ev_per_fu": -13.207, "e_tot_ev_per_cell": -1157.66, "mass_density_g_cm3": 8.4, "cell": [[-4.044, 6.050, 4.683], [3.809, -3.002, 7.167], [6.635, 5.411, -1.260]], "species": ["Si", "Si", "Si", "Si", "Si", "Si", "Si", "Si", "Si", "Si", "Si", "Si", "Si", "Si", "Si", "Si", "Si", "Si", "Si", "Si", "Si", "Si", "Si", "Si", "Si", "Si", "Er", "Er", "Er", "Er", "Er", "Er", "Ir", "Ir", "Ir", "Ir", "Ir", "Ir", "Ir", "Ir"], "fractional_positions": [[0.500, 0.794, 0.362], [0.362, 0.500, 0.206], [0.794, 0.638, 0.500], [0.294, 0.000, 0.138], [0.862, 0.294, 0.000], [0.000, 0.138, 0.706], [0.500, 0.500, 0.500], [0.862, 0.706, 0.000], [0.294, 0.000, 0.862], [0.500, 0.206, 0.362], [0.206, 0.362, 0.500], [0.138, 0.294, 0.000], [0.000, 0.000, 0.000], [0.000, 0.138, 0.294], [0.638, 0.500, 0.794], [0.206, 0.638, 0.500], [0.706, 0.000, 0.862], [0.138, 0.706, 0.000], [0.638, 0.500, 0.206], [0.000, 0.862, 0.294], [0.000, 0.862, 0.706], [0.794, 0.362, 0.500], [0.500, 0.794, 0.638], [0.362, 0.500, 0.794], [0.500, 0.206, 0.638], [0.706, 0.000, 0.138], [0.750, 0.000, 0.500], [0.000, 0.500, 0.750], [0.250, 0.000, 0.500], [0.000, 0.500, 0.250], [0.500, 0.750, 0.000], [0.500, 0.250, 0.000], [0.250, 0.750, 0.250], [0.750, 0.750, 0.750], [0.250, 0.750, 0.750], [0.750, 0.750, 0.250], [0.750, 0.250, 0.250], [0.250, 0.250, 0.750], [0.250, 0.250, 0.250], [0.750, 0.250, 0.750]]}

***

21.
{"formula": "InAsAu2", "functional": "meta-GGA SCAN", "state": "single point on PBEsol structure", "dos_ef_per_ev_atom": 0.18, "spacegroup": "F-43m", "delta_e_f_kj_per_mol_fu": 62, "e_tot_ev_per_cell": -191.25, "mass_density_g_cm3": 12.9, "cell": [[4.740, 0.000, 0.000], [2.370, 4.105, 0.000], [2.370, 1.368, 3.870]], "species": ["As", "Au", "Au", "In"], "fractional_positions": [[0.500, 0.500, 0.500], [0.000, 0.000, 0.000], [0.250, 0.250, 0.250], [0.750, 0.750, 0.750]]}

***

22.
{"formula": "BaLaAl2", "functional": "meta-GGA SCAN", "state": "single point on PBEsol structure", "dos_ef_per_ev_atom": 0.73, "spacegroup": "P4mm", "delta_e_f_kj_per_mol_fu": -17, "e_tot_ev_per_cell": -98.33, "mass_density_g_cm3": 4.7, "e_above_lowest_polymorph_ev_per_fu": 0.62, "cell": [[-2.731, -2.221, 0.013], [1.055, -1.315, -3.090], [5.214, -6.385, 4.497]], "species": ["Al", "Al", "Ba", "La"], "fractional_positions": [[0.500, 0.500, 0.184], [0.000, 0.000, 0.043], [0.000, 0.000, 0.450], [0.500, 0.500, 0.823]]}

***

23.
{"formula": "ZnCoH2O", "functional": "meta-GGA SCAN", "state": "single point on PBEsol structure", "dos_ef_per_ev_atom": 0.23, "spacegroup": "P4/mmm", "e_tot_ev_per_cell": -43.92, "mass_density_g_cm3": 5.3, "cell": [[-2.769, 0.060, 1.279], [-0.885, -2.291, -1.810], [1.463, -3.186, 3.318]], "species": ["H", "H", "Co", "O", "Zn"], "fractional_positions": [[0.000, 0.500, 0.000], [0.500, 0.000, 0.000], [0.500, 0.500, 0.500], [0.000, 0.000, 0.500], [0.000, 0.000, 0.000]]}

***

24.
{"formula": "PtSe2Cl", "functional": "meta-GGA SCAN", "state": "single point on PBEsol structure", "dos_ef_per_ev_atom": 0.14, "spacegroup": "P2/m", "formation_energy_uncorrected_ev_per_fu": -1.664, "e_tot_ev_per_cell": -119.99, "mass_density_g_cm3": 7.6, "e_above_lowest_polymorph_ev_per_fu": 0.00, "cell": [[3.711, 0.000, 0.000], [0.000, 4.657, -0.035], [0.000, -1.592, 4.907]], "species": ["Se", "Se", "Cl", "Pt"], "fractional_positions": [[0.000, 0.136, 0.838], [0.000, 0.864, 0.162], [0.500, 0.500, 0.500], [0.500, 0.500, 0.000]]}

***

25.
{"formula": "CdPtPb", "functional": "meta-GGA SCAN", "state": "single point on PBEsol structure", "dos_ef_per_ev_atom": 0.35, "spacegroup": "F-43m", "delta_e_f_kj_per_mol_fu": -80, "e_tot_ev_per_cell": -177.22, "mass_density_g_cm3": 12.5, "cell": [[4.587, 0.000, 0.000], [2.294, 3.973, 0.000], [2.294, 1.324, 3.746]], "species": ["Pt", "Cd", "Pb"], "fractional_positions": [[0.250, 0.250, 0.250], [0.000, 0.000, 0.000], [0.500, 0.500, 0.500]]}

***

26.
{"formula": "HfGa2Ag", "functional": "meta-GGA SCAN", "state": "single point on PBEsol structure", "dos_ef_per_ev_atom": 0.30, "spacegroup": "P4/mmm", "delta_e_f_kj_per_mol_fu": -135, "e_tot_ev_per_cell": -128.13, "mass_density_g_cm3": 10.6, "cell": [[-2.860, -2.674, -0.013], [0.570, -0.591, -4.052], [2.766, -2.961, 0.821]], "species": ["Ga", "Ga", "Hf", "Ag"], "fractional_positions": [[0.500, 0.500, 0.000], [0.500, 0.000, 0.500], [0.000, 0.000, 0.000], [0.000, 0.500, 0.500]]}